First-principles (PBE) data for a relaxed TiTlMo crystal, as listed in Alexandria.

The structure in POSCAR format:
```
TiTlMo
1.0
6.962 0.000 0.002
0.000 3.374 0.000
-1.071 0.000 4.841
Tl Mo Ti
2 2 2
Direct
0.741 0.000 0.975 Tl
0.741 0.500 0.475 Tl
0.387 0.000 0.268 Mo
0.387 0.500 0.768 Mo
0.105 0.000 0.677 Ti
0.105 0.500 0.177 Ti
```

## Properties
* energy relative to the lowest polymorph listed for this composition: 0.2144 eV per atom
* DOS at the Fermi energy: 5.891 states/eV per cell
* ΔH_f (0 K): 0.26 eV per atom
* total energy: -40.6 eV for the cell shown

=====

First-principles (PBE) data for a relaxed MnSi3Ni crystal, as listed in Alexandria.

The structure in POSCAR format:
```
MnSi3Ni
1.0
4.294 0.000 0.000
0.000 4.294 0.000
0.000 0.000 4.294
Ni Si Mn
1 3 1
Direct
0.500 0.500 0.500 Ni
0.000 0.500 0.000 Si
0.000 0.000 0.500 Si
0.500 0.000 0.000 Si
0.000 0.000 0.000 Mn
```

## Properties
* DOS at the Fermi energy: 3.729 states/eV per cell
* total energy: -28.7 eV for the cell shown
* ΔE_f (raw): 0.500 eV per atom

=====

First-principles (PBE) data for a relaxed Cs2UTlS6 crystal, as listed in Alexandria.

The structure in POSCAR format:
```
Cs2UTlS6
1.0
-1.889 -5.530 -4.627
5.236 -4.586 -2.666
0.297 -7.077 2.325
Cs U Tl S
2 1 1 6
Direct
0.566 0.566 0.301 Cs
0.067 0.067 0.801 Cs
0.316 0.316 0.052 U
0.816 0.816 0.552 Tl
0.557 0.075 0.292 S
0.076 0.076 0.292 S
0.075 0.557 0.292 S
0.557 0.557 0.811 S
0.557 0.076 0.811 S
0.076 0.557 0.811 S
```

## Properties
* DOS at the Fermi energy: 7.258 states/eV per cell
* total energy: -48.1 eV for the cell shown
* ΔE_f (raw): -0.799 eV per atom

=====

First-principles (PBE) data for a relaxed Li5Tl2Pd4 crystal, as listed in Alexandria.

The structure in POSCAR format:
```
Li5Tl2Pd4
1.0
2.962 0.000 0.000
0.000 6.707 0.853
-1.481 -0.821 10.268
Li Tl Pd
5 2 4
Direct
0.146 0.887 0.292 Li
0.854 0.113 0.708 Li
0.229 0.316 0.458 Li
0.500 0.000 0.000 Li
0.771 0.684 0.542 Li
0.910 0.734 0.820 Tl
0.090 0.266 0.180 Tl
0.655 0.571 0.311 Pd
0.043 0.674 0.085 Pd
0.345 0.429 0.689 Pd
0.957 0.326 0.915 Pd
```

## Properties
* DOS at the Fermi energy: 4.454 states/eV per cell
* ΔH_f (0 K): -0.20 eV per atom
* total energy: -37.2 eV for the cell shown

=====

Q: total energy of number 4 (Li5Tl2Pd4)?
A: -37.2 eV for the cell shown

=====

Q: Which value of total energy does entry 2 give?
A: -28.7 eV for the cell shown

=====

Q: Number 1 is which compound?
A: TiTlMo